(1)
## ZrNpTiO6 (PBE-GGA)

Data for crystalline ZrNpTiO6 at its relaxed geometry.

The structure in extended XYZ format:
```
18
Lattice="5.315 0.000 0.000 -2.658 4.603 0.000 0.000 0.000 9.599" Properties=species:S:1:pos:R:3 pbc="T T T"
Zr 0.000 3.069 2.400
Zr 2.658 1.534 7.200
Np 0.000 0.000 0.000
Np 0.000 0.000 4.800
Ti 0.000 3.069 7.200
Ti 2.658 1.534 2.400
O -0.848 1.638 6.103
O -1.663 3.050 8.297
O 0.848 1.638 8.297
O -0.815 4.518 6.103
O 1.843 0.085 1.303
O 0.995 1.553 3.497
O 1.663 3.050 6.103
O 0.815 4.518 8.297
O 3.473 0.085 3.497
O 1.810 2.965 1.303
O 4.320 1.553 1.303
O 3.506 2.965 3.497
```

Properties
Raw formation energy = -3050.2 meV/atom
Calculated density = 6676 kg/m³



(2)
## Np2TlO11 (PBE-GGA)

Data for crystalline Np2TlO11 at its relaxed geometry.

The structure in extended XYZ format:
```
28
Lattice="-4.399 5.110 5.397 4.399 -5.110 5.397 4.399 5.110 -5.397" Properties=species:S:1:pos:R:3 pbc="T T T"
Np 1.845 2.516 0.000
Np 6.244 2.594 0.000
Np -1.845 2.516 5.397
Np 2.554 2.594 5.397
Tl 0.000 0.000 2.698
Tl 0.000 0.000 8.095
O 4.399 0.000 0.000
O 1.099 1.369 -1.336
O 6.926 1.474 -1.306
O 4.065 1.509 0.000
O 2.527 3.636 -1.306
O 5.498 3.741 -1.336
O 1.099 1.369 1.336
O 6.926 1.474 1.306
O 4.065 -1.509 5.397
O 2.527 3.636 1.306
O 5.498 3.741 1.336
O 0.000 5.110 0.000
O -1.099 1.369 4.061
O 1.872 1.474 4.091
O 0.334 6.619 0.000
O -2.527 3.636 4.091
O 3.300 3.741 4.061
O -1.099 1.369 6.733
O 1.872 1.474 6.703
O 0.334 3.601 5.397
O -2.527 3.636 6.703
O 3.300 3.741 6.733
```

Properties
Raw formation energy = -1349.3 meV/atom
Calculated density = 5847 kg/m³



(3)
## NpTl6O12 (PBE-GGA)

Data for crystalline NpTl6O12 at its relaxed geometry.

The structure in extended XYZ format:
```
19
Lattice="5.043 2.912 3.220 -5.043 2.912 3.220 0.000 -5.823 3.220" Properties=species:S:1:pos:R:3 pbc="T T T"
Np 0.000 0.000 0.000
Tl -2.349 0.303 3.424
Tl 0.912 -2.186 3.424
Tl -1.437 -1.882 6.236
Tl 1.437 1.882 3.424
Tl -0.912 2.186 6.236
Tl 2.349 -0.303 6.236
O -3.349 -3.079 5.293
O -4.341 1.361 4.367
O -1.205 -1.780 3.833
O 0.992 -4.440 4.367
O -2.144 0.153 5.827
O -0.939 1.933 3.833
O 0.939 -1.933 5.827
O 2.144 -0.153 3.833
O -0.992 4.440 5.293
O 1.205 1.780 5.827
O 4.341 -1.361 5.293
O 3.349 3.079 4.367
```

Properties
Raw formation energy = -1105.8 meV/atom
Calculated density = 9690 kg/m³



Number 1 is which compound? ZrNpTiO6